1.
This record from Alexandria via LeMat-Bulk describes an optimized crystal structure of HfInH3. The functional is PBE.

Lattice parameters (Å, degrees): 3.857 3.857 3.857 90.00 90.00 90.00
Sites, in units of the cell vectors:
Hf 0.000 0.000 0.000
In 0.500 0.500 0.500
H 0.000 0.000 0.500
H 0.000 0.500 0.000
H 0.500 0.000 0.000

Summary:
Polymorph energy (0 for the lowest one) ... 0 kJ/mol of formula units
D(E_F) ... 1.947 states/eV/cell
Spin magnetization ... 0.00 Bohr magnetons per cell

***

2.
This record from Alexandria via LeMat-Bulk describes an optimized crystal structure of DyHo2Er5Th. The functional is PBE.

Lattice parameters (Å, degrees): 11.037 11.037 9.631 90.00 90.00 150.36
Sites, in units of the cell vectors:
Dy 0.191 0.809 0.500
Dy 0.809 0.191 0.000
Ho 0.115 0.885 0.811
Ho 0.130 0.870 0.193
Ho 0.870 0.130 0.693
Ho 0.885 0.115 0.311
Er 0.014 0.986 0.501
Er 0.270 0.730 0.808
Er 0.305 0.695 0.200
Er 0.397 0.603 0.523
Er 0.469 0.531 0.224
Er 0.531 0.469 0.724
Er 0.603 0.397 0.023
Er 0.695 0.305 0.700
Er 0.730 0.270 0.308
Er 0.986 0.014 0.001
Th 0.405 0.595 0.905
Th 0.595 0.405 0.405

Summary:
D(E_F) ... 25.573 states/eV/cell
Spin magnetization ... 0.00 Bohr magnetons per cell
Energy of formation from the pure elements ... 0.166 eV/atom

***

3.
This record from Alexandria via LeMat-Bulk describes an optimized crystal structure of Th5Ga2Sn. The functional is PBE.

Lattice parameters (Å, degrees): 9.036 9.036 9.036 127.17 127.17 77.98
Sites, in units of the cell vectors:
Th 0.000 0.000 0.000
Th 0.014 0.514 0.824
Th 0.190 0.014 0.500
Th 0.310 0.810 0.824
Th 0.486 0.310 0.500
Th 0.500 0.500 0.000
Th 0.514 0.690 0.500
Th 0.690 0.190 0.176
Th 0.810 0.986 0.500
Th 0.986 0.486 0.176
Ga 0.129 0.371 0.500
Ga 0.371 0.871 0.243
Ga 0.629 0.129 0.757
Ga 0.871 0.629 0.500
Sn 0.250 0.250 0.000
Sn 0.750 0.750 0.000

Summary:
D(E_F) ... 19.011 states/eV/cell
Spin magnetization ... 0.00 Bohr magnetons per cell
Energy of formation from the pure elements ... -0.408 eV/atom

***

4.
This record from Alexandria via LeMat-Bulk describes an optimized crystal structure of PuAl2Ga. The functional is PBE.

Lattice parameters (Å, degrees): 2.892 2.892 9.228 90.00 90.00 90.00
Sites, in units of the cell vectors:
Pu 0.000 0.000 0.000
Al 0.500 0.500 0.262
Al 0.500 0.500 0.738
Ga 0.000 0.000 0.500

Summary:
D(E_F) ... 4.570 states/eV/cell
Spin magnetization ... 5.46 Bohr magnetons per cell
Energy of formation from the pure elements ... -0.050 eV/atom